No. 1
DFT (PBE-GGA) results for crystalline BaLi2Te at its relaxed geometry.

Structure (POSCAR):
```
BaLi2Te
1.0
4.882 0.000 0.000
0.000 4.675 -0.093
0.000 0.139 5.774
Ba Li Te
1 2 1
direct
0.500 0.750 0.750
0.000 0.248 0.007
0.000 0.252 0.493
0.500 0.250 0.250
```

Magnetization: 0.00 μB per cell
Crystal system: monoclinic
Total energy: -2.93 eV/atom
Symmetry: No. 10

No. 2
DFT (PBE-GGA) results for crystalline Li2TcAg at its relaxed geometry.

Structure (POSCAR):
```
Li2TcAg
1.0
5.490 0.008 0.001
2.605 4.832 -0.001
-3.240 -3.770 2.330
Ag Li Tc
1 2 1
direct
0.250 0.750 0.500
0.004 0.004 0.000
0.496 0.496 0.000
0.750 0.250 0.500
```

Magnetization: 0.74 μB per cell
Crystal system: orthorhombic
ΔH_f (0 K): 0.285 eV/atom
Symmetry: No. 71
Polymorph energy (0 for the lowest one): 0.173 eV/atom

No. 3
DFT (PBE-GGA) results for crystalline LiNd4Cd2 at its relaxed geometry.

Structure (POSCAR):
```
LiNd4Cd2
1.0
-2.294 2.575 4.130
-5.355 0.472 0.237
-3.010 -6.390 5.817
Li Nd Cd
1 4 2
direct
0.000 0.000 0.000
0.870 0.870 0.391
0.130 0.130 0.609
0.617 0.617 0.150
0.383 0.383 0.850
0.743 0.743 0.770
0.257 0.257 0.230
```

Magnetization: 1.08 μB per cell
Crystal system: trigonal
ΔH_f (0 K): -0.046 eV/atom
Symmetry: No. 166

Repeat the third record exactly.
DFT (PBE-GGA) results for crystalline LiNd4Cd2 at its relaxed geometry.

Structure (POSCAR):
```
LiNd4Cd2
1.0
-2.294 2.575 4.130
-5.355 0.472 0.237
-3.010 -6.390 5.817
Li Nd Cd
1 4 2
direct
0.000 0.000 0.000
0.870 0.870 0.391
0.130 0.130 0.609
0.617 0.617 0.150
0.383 0.383 0.850
0.743 0.743 0.770
0.257 0.257 0.230
```

Magnetization: 1.08 μB per cell
Crystal system: trigonal
ΔH_f (0 K): -0.046 eV/atom
Symmetry: No. 166

Question: What is the formula in the first record?
Answer: BaLi2Te

Question: What is the magnetization in the third record?
Answer: 1.08 μB per cell